(1)
Material: K2SiSe
Method: DFT, PBE-GGA
State: optimized geometry

```
K2SiSe
1.0
-1.568 4.121 -3.148
-3.787 -1.288 3.654
1.712 2.747 2.743
Si K Se
1 2 1
Direct
0.000 0.500 0.500
0.500 0.500 0.000
0.000 0.000 0.000
0.500 0.000 0.500
```

Computed properties:
**Energy relative to the elements, uncorrected**: -0.080 eV/atom
**Offset from the most stable computed form**: 256 meV/atom
**V**: 116 Å³ per cell
**Total moment**: 0.92 Bohr magnetons per cell
**DOS at the Fermi energy**: 1.10 states/eV/cell

(2)
Material: KSiSe2
Method: DFT, PBE-GGA
State: optimized geometry

```
KSiSe2
1.0
3.885 0.000 0.000
0.000 2.889 0.000
0.000 -0.001 8.235
Se K Si
2 1 1
Direct
0.000 0.249 0.029
0.000 0.251 0.471
0.500 0.750 0.750
0.500 0.250 0.250
```

Computed properties:
**Energy relative to the elements, uncorrected**: -0.320 eV/atom
**V**: 92 Å³ per cell
**Total moment**: 0.00 Bohr magnetons per cell
**DOS at the Fermi energy**: 0.41 states/eV/cell

(3)
Material: KSi2Se
Method: DFT, PBE-GGA
State: optimized geometry

```
KSi2Se
1.0
9.008 -0.024 -0.014
8.309 3.480 -0.014
8.309 1.658 3.059
Si K Se
2 1 1
Direct
0.480 0.480 0.480
0.020 0.020 0.020
0.250 0.250 0.250
0.750 0.750 0.750
```

Computed properties:
**Energy relative to the elements, uncorrected**: 0.453 eV/atom
**V**: 97 Å³ per cell
**Total moment**: 0.00 Bohr magnetons per cell
**DOS at the Fermi energy**: 5.42 states/eV/cell

(4)
Material: K2SiSe
Method: DFT, PBE-GGA
State: optimized geometry

```
K2SiSe
1.0
-1.051 -2.611 -3.201
0.224 -4.067 3.245
-5.567 -1.324 2.907
K Si Se
2 1 1
Direct
0.000 0.987 0.902
0.500 0.264 0.347
0.500 0.565 0.745
0.000 0.684 0.506
```

Computed properties:
**Energy relative to the elements, uncorrected**: -0.336 eV/atom
**Offset from the most stable computed form**: 0 meV/atom
**V**: 130 Å³ per cell
**Total moment**: 0.00 Bohr magnetons per cell
**DOS at the Fermi energy**: 1.70 states/eV/cell

(5)
Material: KSi2Se
Method: DFT, PBE-GGA
State: optimized geometry

```
KSi2Se
1.0
-3.206 -1.677 1.986
-0.584 -4.013 -0.771
3.436 -2.436 5.331
K Se Si
1 1 2
Direct
0.499 0.499 0.504
0.193 0.193 0.185
0.084 0.084 0.874
0.724 0.724 0.938
```

Computed properties:
**Energy relative to the elements, uncorrected**: -0.123 eV/atom
**V**: 104 Å³ per cell
**Total moment**: 0.00 Bohr magnetons per cell
**DOS at the Fermi energy**: 1.11 states/eV/cell

(6)
Material: KSiSe2
Method: DFT, PBE-GGA
State: optimized geometry

```
KSiSe2
1.0
6.112 0.001 0.000
3.184 5.217 0.000
-4.648 -2.609 2.991
K Se Si
1 2 1
Direct
0.750 0.250 0.500
0.000 0.000 0.000
0.250 0.750 0.500
0.500 0.500 0.000
```

Computed properties:
**Energy relative to the elements, uncorrected**: 0.099 eV/atom
**V**: 95 Å³ per cell
**Total moment**: 0.00 Bohr magnetons per cell
**DOS at the Fermi energy**: 2.36 states/eV/cell

(7)
Material: K2SiSe
Method: DFT, PBE-GGA
State: optimized geometry

```
K2SiSe
1.0
-3.825 2.477 2.185
-4.079 -1.082 -2.780
-5.080 -3.357 2.666
K Se Si
2 1 1
Direct
0.696 0.696 0.718
0.055 0.055 0.036
0.534 0.534 0.339
0.215 0.215 0.407
```

Computed properties:
**Energy relative to the elements, uncorrected**: -0.219 eV/atom
**Offset from the most stable computed form**: 117 meV/atom
**V**: 127 Å³ per cell
**Total moment**: 0.00 Bohr magnetons per cell
**DOS at the Fermi energy**: 1.84 states/eV/cell

(8)
Material: KSi2Se
Method: DFT, PBE-GGA
State: optimized geometry

```
KSi2Se
1.0
3.954 0.000 0.000
0.000 4.600 0.007
0.000 1.495 6.201
Si K Se
2 1 1
Direct
0.000 0.012 0.105
0.500 0.311 0.037
0.000 0.386 0.535
0.500 0.791 0.823
```

Computed properties:
**Energy relative to the elements, uncorrected**: 0.003 eV/atom
**V**: 113 Å³ per cell
**Total moment**: 0.00 Bohr magnetons per cell
**DOS at the Fermi energy**: 1.90 states/eV/cell

Q: DOS at the Fermi energy of number 4 (K2SiSe)?
A: 1.70 states/eV/cell

Q: Number 1 is which compound?
A: K2SiSe

Q: The lowest DOS at the Fermi energy belongs to which entry?
A: number 2